# GGA-PBE Na3ScMn, relaxed
# DFT total energy (eV/atom): -2.88
# Calculated volume (Å³ per atom): 33.1
# Density (g cm⁻³): 1.70
# Formation energy (eV/f.u.): 5.080
# E above lowest polymorph (eV per atom): 0.000
data_Na3ScMn
_cell_length_a 5.488
_cell_length_b 5.488
_cell_length_c 5.488
_cell_angle_alpha 90.00
_cell_angle_beta 90.00
_cell_angle_gamma 90.00
_space_group_name_H-M_alt 'P m -3 m'
_space_group_IT_number 221
_space_group_name_Hall '-P 4 2 3'
loop_
_atom_site_label
_atom_site_fract_x
_atom_site_fract_y
_atom_site_fract_z
Na1 0.000 0.000 0.500
Sc1 0.500 0.500 0.500
Mn1 0.000 0.000 0.000